# MnGe2PbO6 (PBE with a Hubbard U, optimized geometry)
data_MnGe2PbO6
_cell_length_a 5.409
_cell_length_b 7.372
_cell_length_c 7.372
_cell_angle_alpha 90.18
_cell_angle_beta 82.96
_cell_angle_gamma 82.96
_space_group_name_H-M_alt 'P 1'
_space_group_IT_number 1
_space_group_name_Hall 'P 1'
loop_
_atom_site_label
_atom_site_type_symbol
_atom_site_fract_x
_atom_site_fract_y
_atom_site_fract_z
Mn1 Mn 0.750 0.713 0.287
O1 O 0.423 0.603 0.718
O2 O 0.608 0.186 0.602
O3 O 0.187 0.990 0.752
Pb1 Pb 0.250 0.890 0.110
O4 O 0.813 0.010 0.248
Pb2 Pb 0.750 0.110 0.890
O5 O 0.392 0.814 0.398
Ge1 Ge 0.766 0.209 0.385
O6 O 0.108 0.602 0.186
O7 O 0.923 0.718 0.603
Mn2 Mn 0.250 0.287 0.713
O8 O 0.577 0.397 0.282
O9 O 0.313 0.248 0.010
O10 O 0.892 0.398 0.814
O11 O 0.077 0.282 0.397
Ge2 Ge 0.734 0.615 0.791
O12 O 0.687 0.752 0.990
Ge3 Ge 0.266 0.385 0.209
Ge4 Ge 0.234 0.791 0.615
# Energy   -131.1 eV for the cell shown